Record 1
# PuSbS | Alexandria | PBE | relaxed
# Symmetry: I4/mmm (139)
data_PuSbS
_chemical_formula_sum 'Pu2 Sb2 S2'
_cell_length_a 4.0794
_cell_length_b 4.0794
_cell_length_c 9.1055
_cell_angle_alpha 102.94
_cell_angle_beta 102.94
_cell_angle_gamma 90.00
_space_group_name_H-M_alt 'P 1'
_space_group_IT_number 1
loop_
_space_group_symop_operation_xyz
'x,y,z'
loop_
_atom_site_label
_atom_site_type_symbol
_atom_site_fract_x
_atom_site_fract_y
_atom_site_fract_z
Sb1 Sb 0.0000 0.5000 0.0000
Sb2 Sb 0.5000 0.0000 0.0000
Pu1 Pu 0.6583 0.6583 0.3167
Pu2 Pu 0.3417 0.3417 0.6833
S1 S 0.8167 0.8167 0.6334
S2 S 0.1833 0.1833 0.3666

---

Record 2
# Pu2SbS5 | Alexandria | PBE | relaxed
# Symmetry: Cmcm (63)
data_Pu2SbS5
_chemical_formula_sum 'Pu4 Sb2 S10'
_cell_length_a 5.3459
_cell_length_b 7.0287
_cell_length_c 13.2019
_cell_angle_alpha 90.00
_cell_angle_beta 90.00
_cell_angle_gamma 112.35
_space_group_name_H-M_alt 'P 1'
_space_group_IT_number 1
loop_
_space_group_symop_operation_xyz
'x,y,z'
loop_
_atom_site_label
_atom_site_type_symbol
_atom_site_fract_x
_atom_site_fract_y
_atom_site_fract_z
Pu1 Pu 0.1479 0.2957 0.9391
Pu2 Pu 0.8521 0.7043 0.0609
Pu3 Pu 0.1479 0.2957 0.5609
Pu4 Pu 0.8521 0.7043 0.4391
Sb1 Sb 0.8068 0.6137 0.7500
Sb2 Sb 0.1932 0.3863 0.2500
S1 S 0.6837 0.3674 0.9368
S2 S 0.3163 0.6326 0.0632
S3 S 0.6837 0.3674 0.5632
S4 S 0.9506 0.9011 0.6168
S5 S 0.0494 0.0989 0.3832
S6 S 0.3163 0.6326 0.4368
S7 S 0.0494 0.0989 0.1168
S8 S 0.2481 0.4963 0.7500
S9 S 0.7519 0.5037 0.2500
S10 S 0.9506 0.9011 0.8832

---

Record 3
# Pu3Sb5S12 | Alexandria | PBE | relaxed
# Symmetry: Ia-3d (230)
data_Pu3Sb5S12
_chemical_formula_sum 'Pu12 Sb20 S48'
_cell_length_a 14.0130
_cell_length_b 14.0130
_cell_length_c 14.0130
_cell_angle_alpha 109.47
_cell_angle_beta 109.47
_cell_angle_gamma 109.47
_space_group_name_H-M_alt 'P 1'
_space_group_IT_number 1
loop_
_space_group_symop_operation_xyz
'x,y,z'
loop_
_atom_site_label
_atom_site_type_symbol
_atom_site_fract_x
_atom_site_fract_y
_atom_site_fract_z
Pu1 Pu 0.6250 0.3750 0.7500
Pu2 Pu 0.1250 0.2500 0.8750
Pu3 Pu 0.2500 0.1250 0.3750
Pu4 Pu 0.3750 0.6250 0.2500
Pu5 Pu 0.2500 0.6250 0.8750
Pu6 Pu 0.3750 0.7500 0.6250
Pu7 Pu 0.1250 0.8750 0.7500
Pu8 Pu 0.8750 0.7500 0.1250
Pu9 Pu 0.7500 0.3750 0.1250
Pu10 Pu 0.7500 0.8750 0.6250
Pu11 Pu 0.8750 0.1250 0.2500
Pu12 Pu 0.6250 0.2500 0.3750
S1 S 0.0851 0.1700 0.4487
S2 S 0.3300 0.7787 0.4151
S3 S 0.9151 0.0851 0.6364
S4 S 0.1700 0.0851 0.9487
S5 S 0.3636 0.4149 0.0849
S6 S 0.3636 0.9487 0.7787
S7 S 0.4149 0.0513 0.3300
S8 S 0.4487 0.6700 0.0851
S9 S 0.1364 0.4151 0.0851
S10 S 0.9149 0.8300 0.5513
S11 S 0.2213 0.6700 0.0849
S12 S 0.1364 0.7213 0.5513
S13 S 0.2213 0.5513 0.6364
S14 S 0.7787 0.4487 0.3636
S15 S 0.6700 0.4487 0.5851
S16 S 0.6364 0.5851 0.9151
S17 S 0.8636 0.2787 0.4487
S18 S 0.8300 0.9151 0.2787
S19 S 0.3300 0.5513 0.4149
S20 S 0.7213 0.1364 0.0513
S21 S 0.5513 0.2213 0.1364
S22 S 0.4151 0.2787 0.3300
S23 S 0.4487 0.7787 0.8636
S24 S 0.6700 0.2213 0.5849
S25 S 0.0851 0.9151 0.1364
S26 S 0.5849 0.7213 0.6700
S27 S 0.4149 0.3636 0.5849
S28 S 0.9149 0.0849 0.8636
S29 S 0.1700 0.0849 0.7213
S30 S 0.5851 0.9487 0.6700
S31 S 0.0849 0.9149 0.3636
S32 S 0.9487 0.3636 0.2787
S33 S 0.9487 0.5851 0.1700
S34 S 0.0849 0.1700 0.2213
S35 S 0.5851 0.6364 0.4151
S36 S 0.0513 0.4149 0.8300
S37 S 0.0513 0.6364 0.7213
S38 S 0.5513 0.3300 0.9149
S39 S 0.9151 0.8300 0.7787
S40 S 0.4151 0.1364 0.5851
S41 S 0.2787 0.8636 0.9487
S42 S 0.7213 0.5849 0.1700
S43 S 0.7787 0.3300 0.9151
S44 S 0.8300 0.9149 0.0513
S45 S 0.5849 0.8636 0.4149
S46 S 0.6364 0.0513 0.2213
S47 S 0.8636 0.5849 0.9149
S48 S 0.2787 0.4151 0.8300
Sb1 Sb 0.5000 0.5000 0.5000
Sb2 Sb 0.7500 0.1250 0.8750
Sb3 Sb 0.5000 0.5000 0.0000
Sb4 Sb 0.6250 0.8750 0.2500
Sb5 Sb 0.1250 0.7500 0.3750
Sb6 Sb 0.7500 0.6250 0.3750
Sb7 Sb 0.8750 0.6250 0.7500
Sb8 Sb 0.0000 0.0000 0.0000
Sb9 Sb 0.0000 0.0000 0.5000
Sb10 Sb 0.3750 0.2500 0.1250
Sb11 Sb 0.8750 0.2500 0.6250
Sb12 Sb 0.0000 0.5000 0.0000
Sb13 Sb 0.3750 0.1250 0.7500
Sb14 Sb 0.2500 0.3750 0.6250
Sb15 Sb 0.6250 0.7500 0.8750
Sb16 Sb 0.5000 0.0000 0.0000
Sb17 Sb 0.0000 0.5000 0.5000
Sb18 Sb 0.2500 0.8750 0.1250
Sb19 Sb 0.5000 0.0000 0.5000
Sb20 Sb 0.1250 0.3750 0.2500

---

Record 4
# Pu5Sb3S12 | Alexandria | PBE | relaxed
# Symmetry: Ia-3d (230)
data_Pu5Sb3S12
_chemical_formula_sum 'Pu20 Sb12 S48'
_cell_length_a 14.0481
_cell_length_b 14.0481
_cell_length_c 14.0481
_cell_angle_alpha 109.47
_cell_angle_beta 109.47
_cell_angle_gamma 109.47
_space_group_name_H-M_alt 'P 1'
_space_group_IT_number 1
loop_
_space_group_symop_operation_xyz
'x,y,z'
loop_
_atom_site_label
_atom_site_type_symbol
_atom_site_fract_x
_atom_site_fract_y
_atom_site_fract_z
S1 S 0.9010 0.0739 0.6248
S2 S 0.7762 0.3271 0.9010
S3 S 0.4010 0.2762 0.3271
S4 S 0.3271 0.7762 0.4010
S5 S 0.9261 0.0990 0.8752
S6 S 0.8752 0.2762 0.4491
S7 S 0.8271 0.9261 0.0509
S8 S 0.6248 0.0509 0.2238
S9 S 0.6729 0.2238 0.5990
S10 S 0.0990 0.9261 0.3752
S11 S 0.5739 0.6248 0.4010
S12 S 0.3752 0.4261 0.0990
S13 S 0.9491 0.3752 0.2762
S14 S 0.9010 0.8271 0.7762
S15 S 0.8271 0.9010 0.2762
S16 S 0.6729 0.4491 0.5739
S17 S 0.4491 0.7762 0.8752
S18 S 0.4010 0.1248 0.5739
S19 S 0.6248 0.5739 0.9010
S20 S 0.8752 0.5990 0.9261
S21 S 0.9491 0.5739 0.1729
S22 S 0.4261 0.3752 0.5990
S23 S 0.5509 0.2238 0.1248
S24 S 0.1729 0.0739 0.9491
S25 S 0.4261 0.0509 0.3271
S26 S 0.2762 0.4010 0.8271
S27 S 0.1729 0.0990 0.7238
S28 S 0.5990 0.7238 0.6729
S29 S 0.0509 0.4261 0.8271
S30 S 0.0509 0.6248 0.7238
S31 S 0.1248 0.7238 0.5509
S32 S 0.2238 0.5509 0.6248
S33 S 0.3271 0.5509 0.4261
S34 S 0.4491 0.6729 0.0739
S35 S 0.5509 0.3271 0.9261
S36 S 0.2762 0.8752 0.9491
S37 S 0.0990 0.1729 0.2238
S38 S 0.0739 0.1729 0.4491
S39 S 0.7238 0.1248 0.0509
S40 S 0.3752 0.9491 0.7762
S41 S 0.2238 0.6729 0.0990
S42 S 0.7238 0.5990 0.1729
S43 S 0.5739 0.9491 0.6729
S44 S 0.9261 0.8271 0.5509
S45 S 0.0739 0.9010 0.1248
S46 S 0.1248 0.4010 0.0739
S47 S 0.7762 0.4491 0.3752
S48 S 0.5990 0.8752 0.4261
Pu1 Pu 0.5000 0.5000 0.5000
Pu2 Pu 0.2500 0.8750 0.1250
Pu3 Pu 0.3750 0.2500 0.1250
Pu4 Pu 0.5000 0.0000 0.0000
Pu5 Pu 0.1250 0.3750 0.2500
Pu6 Pu 0.0000 0.5000 0.5000
Pu7 Pu 0.0000 0.5000 0.0000
Pu8 Pu 0.5000 0.0000 0.5000
Pu9 Pu 0.7500 0.1250 0.8750
Pu10 Pu 0.8750 0.6250 0.7500
Pu11 Pu 0.2500 0.3750 0.6250
Pu12 Pu 0.5000 0.5000 0.0000
Pu13 Pu 0.0000 0.0000 0.0000
Pu14 Pu 0.1250 0.7500 0.3750
Pu15 Pu 0.3750 0.1250 0.7500
Pu16 Pu 0.8750 0.2500 0.6250
Pu17 Pu 0.6250 0.7500 0.8750
Pu18 Pu 0.0000 0.0000 0.5000
Pu19 Pu 0.7500 0.6250 0.3750
Pu20 Pu 0.6250 0.8750 0.2500
Sb1 Sb 0.8750 0.7500 0.1250
Sb2 Sb 0.1250 0.8750 0.7500
Sb3 Sb 0.3750 0.7500 0.6250
Sb4 Sb 0.1250 0.2500 0.8750
Sb5 Sb 0.7500 0.8750 0.6250
Sb6 Sb 0.3750 0.6250 0.2500
Sb7 Sb 0.2500 0.1250 0.3750
Sb8 Sb 0.6250 0.2500 0.3750
Sb9 Sb 0.6250 0.3750 0.7500
Sb10 Sb 0.8750 0.1250 0.2500
Sb11 Sb 0.7500 0.3750 0.1250
Sb12 Sb 0.2500 0.6250 0.8750

---

Record 5
# Pu2Tl3SbS6 | Alexandria | PBE | relaxed
# Symmetry: C2/m (12)
data_Pu2Tl3SbS6
_chemical_formula_sum 'Pu2 Tl3 Sb1 S6'
_cell_length_a 7.0654
_cell_length_b 7.0654
_cell_length_c 7.8078
_cell_angle_alpha 98.67
_cell_angle_beta 98.67
_cell_angle_gamma 119.99
_space_group_name_H-M_alt 'P 1'
_space_group_IT_number 1
loop_
_space_group_symop_operation_xyz
'x,y,z'
loop_
_atom_site_label
_atom_site_type_symbol
_atom_site_fract_x
_atom_site_fract_y
_atom_site_fract_z
Pu1 Pu 0.6666 0.3334 0.0000
Pu2 Pu 0.3334 0.6666 0.0000
S1 S 0.9345 0.5989 0.8032
S2 S 0.7300 0.7300 0.1975
S3 S 0.2700 0.2700 0.8025
S4 S 0.0655 0.4011 0.1968
S5 S 0.5989 0.9345 0.8032
S6 S 0.4011 0.0655 0.1968
Tl1 Tl 0.8322 0.1678 0.5000
Tl2 Tl 0.5000 0.5000 0.5000
Tl3 Tl 0.1678 0.8322 0.5000
Sb1 Sb 0.0000 0.0000 0.0000

---

Record 6
# PuTl2SbS4 | Alexandria | PBE | relaxed
# Symmetry: Imma (74)
data_PuTl2SbS4
_chemical_formula_sum 'Pu2 Tl4 Sb2 S8'
_cell_length_a 8.4429
_cell_length_b 8.4429
_cell_length_c 8.4229
_cell_angle_alpha 119.92
_cell_angle_beta 119.92
_cell_angle_gamma 90.04
_space_group_name_H-M_alt 'P 1'
_space_group_IT_number 1
loop_
_space_group_symop_operation_xyz
'x,y,z'
loop_
_atom_site_label
_atom_site_type_symbol
_atom_site_fract_x
_atom_site_fract_y
_atom_site_fract_z
Pu1 Pu 0.0000 0.5000 0.0000
Pu2 Pu 0.0000 0.5000 0.5000
S1 S 0.7654 0.7346 0.9698
S2 S 0.7654 0.7346 0.5302
S3 S 0.1986 0.7318 0.9652
S4 S 0.2346 0.2654 0.0302
S5 S 0.8014 0.2682 0.0348
S6 S 0.2318 0.6986 0.4652
S7 S 0.2346 0.2654 0.4698
S8 S 0.7682 0.3014 0.5348
Sb1 Sb 0.5000 0.5000 0.5000
Sb2 Sb 0.0000 0.0000 0.0000
Tl1 Tl 0.0000 0.0000 0.5000
Tl2 Tl 0.5000 0.0000 0.0000
Tl3 Tl 0.5000 0.0000 0.5000
Tl4 Tl 0.5000 0.5000 0.0000

---

Number 1: energy -8.65 eV per atom. Number 2: energy -7.76 eV per atom. Number 3: energy -6.25 eV per atom. Number 4: energy -7.42 eV per atom. Number 5: energy -6.30 eV per atom. Number 6: energy -5.69 eV per atom.